Entry from Alexandria via LeMat-Bulk: crystalline Tl3Cd2Hg8 at its relaxed geometry (PBE-GGA).

Lattice parameters (Å, degrees): 5.091 8.203 9.162 70.89 90.00 90.00
Positions (direct):
Tl  0.500  0.000  0.000
Tl  0.000  0.727  0.940
Hg  0.000  0.631  0.624
Hg  0.000  0.149  0.745
Cd  0.500  0.304  0.575
Cd  0.500  0.696  0.425
Hg  0.500  0.107  0.324
Hg  0.500  0.893  0.676
Tl  0.000  0.273  0.060
Hg  0.500  0.462  0.838
Hg  0.500  0.538  0.162
Hg  0.000  0.369  0.376
Hg  0.000  0.851  0.255

Values from the calculation:
- SG = P2/m (10)
- VASP energy (eV/f.u.) = -11.26
- ΔE_f (eV per atom) = 0.007
- energy relative to the lowest polymorph listed for this composition (eV/atom) = 0.0000